Record 1
Density functional theory data (PBE-GGA) for a geometry-optimized YCdPb structure.

space group: P-62m, No. 189
energy: -3.99 eV per atom
E_form: -0.2935 eV/atom

The structure in POSCAR format:
```
YCdPb
1.0
7.9144 0.0000 0.0000
-3.9572 6.8540 0.0000
0.0000 0.0000 4.5037
Y Cd Pb
3 3 3
Direct
0.0000 0.5974 0.0000
0.4026 0.4026 0.0000
0.5974 0.0000 0.0000
0.0000 0.2553 0.5000
0.2553 0.0000 0.5000
0.7447 0.7447 0.5000
0.0000 0.0000 0.0000
0.3333 0.6667 0.5000
0.6667 0.3333 0.5000
```

***

Record 2
Density functional theory data (PBE-GGA) for a geometry-optimized YCdPb2 structure.

space group: I-4m2, No. 119
energy: -3.98 eV per atom
E_form: -0.2840 eV/atom

The structure in POSCAR format:
```
YCdPb2
1.0
-2.2592 2.2592 5.3081
2.2592 -2.2592 5.3081
2.2592 2.2592 -5.3081
Y Cd Pb
1 1 2
Direct
0.0000 0.0000 0.0000
0.7500 0.2500 0.5000
0.2500 0.7500 0.5000
0.5000 0.5000 0.0000
```

***

Record 3
Density functional theory data (PBE-GGA) for a geometry-optimized YCdPb structure.

space group: Immm, No. 71
energy: -4.02 eV per atom
E_form: -0.3205 eV/atom

The structure in POSCAR format:
```
YCdPb
1.0
-2.4347 3.4893 4.7355
2.4347 -3.4893 4.7355
2.4347 3.4893 -4.7355
Y Cd Pb
2 2 2
Direct
0.2479 0.0000 0.2479
0.7521 0.0000 0.7521
0.3487 0.3487 0.0000
0.6513 0.6513 0.0000
0.1738 0.6738 0.5000
0.8262 0.3262 0.5000
```

***

Record 4
Density functional theory data (PBE-GGA) for a geometry-optimized Y2CdPb3 structure.

space group: Cmmm, No. 65
energy: -4.57 eV per atom
E_form: -0.4069 eV/atom

The structure in POSCAR format:
```
Y2CdPb3
1.0
2.2622 -7.8015 0.0000
2.2622 7.8015 0.0000
0.0000 0.0000 4.6744
Y Cd Pb
2 1 3
Direct
0.1514 0.8486 0.0000
0.8486 0.1514 0.0000
0.0000 0.0000 0.5000
0.3273 0.6727 0.5000
0.5000 0.5000 0.0000
0.6727 0.3273 0.5000
```